DFT (PBE) results for a geometry-optimized ErTh3Sn5 structure.

a = 9.5647 Å, b = 9.5647 Å, c = 6.4251 Å
α = 90.00°, β = 90.00°, γ = 120.00°
Fractional coordinates of all 18 atoms:
Er  0.0000  0.0000  0.0000
Er  0.0000  0.0000  0.5000
Th  0.0000  0.3835  0.2500
Th  0.0000  0.6165  0.7500
Th  0.3835  0.0000  0.2500
Th  0.3835  0.3835  0.7500
Th  0.6165  0.0000  0.7500
Th  0.6165  0.6165  0.2500
Sn  0.0000  0.2763  0.7500
Sn  0.0000  0.7237  0.2500
Sn  0.2763  0.0000  0.7500
Sn  0.2763  0.2763  0.2500
Sn  0.3333  0.6667  0.0000
Sn  0.3333  0.6667  0.5000
Sn  0.6667  0.3333  0.0000
Sn  0.6667  0.3333  0.5000
Sn  0.7237  0.0000  0.2500
Sn  0.7237  0.7237  0.7500

Summary:
As for the energy: -5.796 eV per atom. Its total magnetic moment is 0.00 μB/f.u. The calculation puts the formation energy at -0.59 eV/atom.